# 1
Here is an optimized crystal structure of MnNiPt2 from the Alexandria database. Energies are from PBE.

```
MnNiPt2
1.0
6.170 0.015 0.048
-2.460 3.883 0.029
1.250 0.773 2.380
Mn Ni Pt
1 1 2
direct
0.000 0.500 0.500
0.500 0.500 0.000
0.500 0.000 0.500
0.000 0.000 0.000
```

Calculated values
Energy relative to the elements in eV per atom: -0.256
Symmetry: Cmmm (65)
Final energy in eV per atom: -7.01

=====

# 2
Here is an optimized crystal structure of Mn2Ni7Pt2 from the Alexandria database. Energies are from PBE.

```
Mn2Ni7Pt2
1.0
5.127 -0.054 -0.452
-1.155 5.388 -1.133
-0.353 -0.054 5.134
Ni Pt Mn
7 2 2
direct
0.599 0.852 0.599
0.000 0.000 0.000
0.401 0.148 0.401
0.903 0.164 0.441
0.559 0.836 0.097
0.441 0.164 0.903
0.097 0.836 0.559
0.795 0.520 0.795
0.205 0.480 0.205
0.277 0.500 0.723
0.723 0.500 0.277
```

Calculated values
Energy relative to the elements in eV per atom: 0.029
Symmetry: C2/m (12)
Final energy in eV per atom: -6.42

=====

# 3
Here is an optimized crystal structure of MnNiPt from the Alexandria database. Energies are from PBE.

```
MnNiPt
1.0
5.599 0.841 0.000
3.718 4.270 0.000
-4.658 -2.556 1.956
Pt Mn Ni
1 1 1
direct
0.668 0.668 0.000
0.992 0.992 0.000
0.340 0.340 0.000
```

Calculated values
Energy relative to the elements in eV per atom: -0.159
ΔE to the lowest computed polymorph in meV/atom: 21.8
Symmetry: I4mm (107)
Final energy in eV per atom: -7.16

=====

# 4
Here is an optimized crystal structure of MnNiPt2 from the Alexandria database. Energies are from PBE.

```
MnNiPt2
1.0
6.805 0.000 0.000
0.000 6.805 0.000
3.403 3.403 2.675
Pt Ni Mn
4 2 2
direct
0.631 0.125 0.250
0.119 0.625 0.250
0.375 0.369 0.750
0.875 0.881 0.750
0.750 0.250 0.500
0.000 0.000 0.000
0.250 0.750 0.500
0.500 0.500 0.000
```

Calculated values
Energy relative to the elements in eV per atom: 0.146
Symmetry: I-42d (122)
Final energy in eV per atom: -6.61

=====

# 5
Here is an optimized crystal structure of Mn2NiPt8 from the Alexandria database. Energies are from PBE.

```
Mn2NiPt8
1.0
-3.456 -1.862 0.324
2.836 -5.433 -0.970
1.836 1.940 6.796
Mn Pt Ni
2 8 1
direct
0.225 0.646 0.450
0.775 0.354 0.550
0.954 0.270 0.909
0.404 0.549 0.809
0.596 0.451 0.191
0.321 0.086 0.642
0.046 0.730 0.091
0.860 0.808 0.720
0.140 0.192 0.280
0.679 0.914 0.358
0.500 0.000 0.000
```

Calculated values
Energy relative to the elements in eV per atom: -0.216
Symmetry: C2/m (12)
Final energy in eV per atom: -6.80

=====

# 6
Here is an optimized crystal structure of Mn2Ni3Pt from the Alexandria database. Energies are from PBE.

```
Mn2Ni3Pt
1.0
2.719 0.000 0.000
0.000 6.928 0.000
0.000 0.000 16.392
Ni Mn Pt
12 8 4
direct
0.750 0.948 0.438
0.750 0.138 0.310
0.250 0.757 0.073
0.250 0.362 0.810
0.750 0.448 0.062
0.250 0.257 0.427
0.750 0.638 0.190
0.750 0.743 0.573
0.750 0.243 0.927
0.250 0.052 0.562
0.250 0.552 0.938
0.250 0.862 0.690
0.250 0.336 0.198
0.250 0.836 0.302
0.750 0.664 0.802
0.750 0.164 0.698
0.750 0.855 0.955
0.750 0.355 0.545
0.250 0.645 0.455
0.250 0.145 0.045
0.750 0.001 0.167
0.250 0.999 0.833
0.750 0.501 0.333
0.250 0.499 0.667
```

Calculated values
Energy relative to the elements in eV per atom: -0.055
Symmetry: Pnma (62)
Final energy in eV per atom: -7.01